No. 1
An optimized crystal structure of SmEr3Cd6. Source: Alexandria via LeMat-Bulk, functional PBE-GGA.

a b c (Å): 9.151 5.168 11.064
angles (deg): 90.00 106.09 90.00
Sites, in units of the cell vectors:
Sm (0.058, 0.250, 0.390)
Sm (0.942, 0.750, 0.610)
Er (0.240, 0.250, 0.999)
Er (0.351, 0.750, 0.798)
Er (0.470, 0.250, 0.607)
Er (0.530, 0.750, 0.393)
Er (0.649, 0.250, 0.202)
Er (0.760, 0.750, 0.001)
Cd (0.054, 0.750, 0.905)
Cd (0.144, 0.750, 0.197)
Cd (0.158, 0.250, 0.697)
Cd (0.249, 0.750, 0.504)
Cd (0.349, 0.250, 0.292)
Cd (0.452, 0.750, 0.096)
Cd (0.548, 0.250, 0.904)
Cd (0.651, 0.750, 0.708)
Cd (0.751, 0.250, 0.496)
Cd (0.842, 0.750, 0.303)
Cd (0.856, 0.250, 0.803)
Cd (0.946, 0.250, 0.095)

## Properties
The value obtained for the density of states at the Fermi level is 0.754 states/eV per atom. Its formation enthalpy at 0 K is -0.28 eV per atom. As for the space group: P2_1/m (11).

=====

No. 2
An optimized crystal structure of Co2RuPb. Source: Alexandria via LeMat-Bulk, functional PBE-GGA.

a b c (Å): 4.379 4.379 4.379
angles (deg): 60.00 60.00 60.00
Sites, in units of the cell vectors:
Co (0.000, 0.000, 0.000)
Co (0.250, 0.250, 0.250)
Ru (0.750, 0.750, 0.750)
Pb (0.500, 0.500, 0.500)

## Properties
The value obtained for the density of states at the Fermi level is 1.339 states/eV per atom. Its formation enthalpy at 0 K is 0.49 eV per atom. As for the space group: F-43m (216).